# 1
The following is a GGA-PBE calculation of a relaxed structure of Ac6Ge3BiS2, from the Alexandria database.

Cell lengths 10.225, 10.225, 9.224 Å; angles 102.93, 102.93, 25.70 degrees
Sites, in units of the cell vectors:
Ac (0.002, 0.002, 0.266)
Ac (0.327, 0.327, 0.913)
Ac (0.333, 0.333, 0.417)
Ac (0.667, 0.667, 0.583)
Ac (0.673, 0.673, 0.087)
Ac (0.998, 0.998, 0.734)
Ge (0.166, 0.166, 0.829)
Ge (0.500, 0.500, 0.500)
Ge (0.834, 0.834, 0.171)
Bi (0.500, 0.500, 0.000)
S (0.169, 0.169, 0.338)
S (0.831, 0.831, 0.662)

Values from the calculation:
* space-group type: C2/m, No. 12
* electronic total energy: -5.37 eV/atom
* ΔE_f (raw): -1.155 eV/atom
* total magnetization: 0.000 μB/f.u.

# 2
The following is a GGA-PBE calculation of a relaxed structure of Ac4GeBiS2, from the Alexandria database.

Cell lengths 7.743, 4.577, 7.995 Å; angles 90.00, 109.90, 90.00 degrees
Sites, in units of the cell vectors:
Ac (0.238, 0.000, 0.233)
Ac (0.245, 0.500, 0.759)
Ac (0.755, 0.500, 0.241)
Ac (0.762, 0.000, 0.767)
Ge (0.500, 0.000, 0.000)
Bi (0.500, 0.500, 0.500)
S (0.000, 0.000, 0.500)
S (0.000, 0.500, 0.000)

Values from the calculation:
* space-group type: P2/m, No. 10
* electronic total energy: -5.57 eV/atom
* ΔE_f (raw): -1.418 eV/atom
* total magnetization: 0.000 μB/f.u.

# 3
The following is a GGA-PBE calculation of a relaxed structure of AcGeBiSb, from the Alexandria database.

Cell lengths 7.836, 7.836, 7.836 Å; angles 90.00, 90.00, 90.00 degrees
Sites, in units of the cell vectors:
Ac (0.000, 0.000, 0.000)
Ac (0.000, 0.500, 0.500)
Ac (0.500, 0.000, 0.500)
Ac (0.500, 0.500, 0.000)
Ge (0.250, 0.250, 0.750)
Ge (0.250, 0.750, 0.250)
Ge (0.750, 0.250, 0.250)
Ge (0.750, 0.750, 0.750)
Bi (0.000, 0.000, 0.500)
Bi (0.000, 0.500, 0.000)
Bi (0.500, 0.000, 0.000)
Bi (0.500, 0.500, 0.500)
Sb (0.250, 0.250, 0.250)
Sb (0.250, 0.750, 0.750)
Sb (0.750, 0.250, 0.750)
Sb (0.750, 0.750, 0.250)

Values from the calculation:
* space-group type: F-43m, No. 216
* electronic total energy: -4.45 eV/atom
* ΔE_f (raw): -0.269 eV/atom
* total magnetization: 0.000 μB/f.u.

# 4
The following is a GGA-PBE calculation of a relaxed structure of Ac4GeBi2Sb, from the Alexandria database.

Cell lengths 8.295, 4.778, 8.323 Å; angles 90.00, 109.32, 90.00 degrees
Sites, in units of the cell vectors:
Ac (0.239, 0.000, 0.235)
Ac (0.246, 0.500, 0.761)
Ac (0.754, 0.500, 0.239)
Ac (0.761, 0.000, 0.765)
Ge (0.000, 0.500, 0.000)
Bi (0.000, 0.000, 0.500)
Bi (0.500, 0.500, 0.500)
Sb (0.500, 0.000, 0.000)

Values from the calculation:
* space-group type: P2/m, No. 10
* electronic total energy: -5.04 eV/atom
* ΔE_f (raw): -0.928 eV/atom
* total magnetization: 0.000 μB/f.u.

# 5
The following is a GGA-PBE calculation of a relaxed structure of Ac6GeBi3Se2, from the Alexandria database.

Cell lengths 10.528, 10.528, 9.423 Å; angles 102.97, 102.97, 25.86 degrees
Sites, in units of the cell vectors:
Ac (0.002, 0.002, 0.235)
Ac (0.332, 0.332, 0.424)
Ac (0.340, 0.340, 0.915)
Ac (0.660, 0.660, 0.085)
Ac (0.668, 0.668, 0.576)
Ac (0.998, 0.998, 0.765)
Ge (0.500, 0.500, 0.000)
Bi (0.170, 0.170, 0.831)
Bi (0.500, 0.500, 0.500)
Bi (0.830, 0.830, 0.169)
Se (0.168, 0.168, 0.336)
Se (0.832, 0.832, 0.664)

Values from the calculation:
* space-group type: C2/m, No. 12
* electronic total energy: -5.25 eV/atom
* ΔE_f (raw): -1.258 eV/atom
* total magnetization: 0.000 μB/f.u.

# 6
The following is a GGA-PBE calculation of a relaxed structure of Ac8GeBi4Se3, from the Alexandria database.

Cell lengths 9.401, 9.401, 9.401 Å; angles 60.00, 60.00, 60.00 degrees
Sites, in units of the cell vectors:
Ac (0.247, 0.247, 0.247)
Ac (0.251, 0.742, 0.742)
Ac (0.258, 0.258, 0.749)
Ac (0.258, 0.749, 0.258)
Ac (0.742, 0.251, 0.742)
Ac (0.742, 0.742, 0.251)
Ac (0.749, 0.258, 0.258)
Ac (0.753, 0.753, 0.753)
Ge (0.500, 0.500, 0.500)
Bi (0.000, 0.000, 0.000)
Bi (0.000, 0.500, 0.500)
Bi (0.500, 0.000, 0.500)
Bi (0.500, 0.500, 0.000)
Se (0.000, 0.000, 0.500)
Se (0.000, 0.500, 0.000)
Se (0.500, 0.000, 0.000)

Values from the calculation:
* space-group type: R-3m, No. 166
* electronic total energy: -5.27 eV/atom
* ΔE_f (raw): -1.308 eV/atom
* total magnetization: 0.000 μB/f.u.

# 7
The following is a GGA-PBE calculation of a relaxed structure of Ac6Ge2BiSe3, from the Alexandria database.

Cell lengths 10.262, 10.262, 9.204 Å; angles 101.85, 101.85, 26.05 degrees
Sites, in units of the cell vectors:
Ac (0.005, 0.005, 0.262)
Ac (0.329, 0.329, 0.902)
Ac (0.330, 0.330, 0.423)
Ac (0.670, 0.670, 0.577)
Ac (0.671, 0.671, 0.098)
Ac (0.995, 0.995, 0.738)
Ge (0.167, 0.167, 0.334)
Ge (0.833, 0.833, 0.666)
Bi (0.500, 0.500, 0.000)
Se (0.165, 0.165, 0.834)
Se (0.500, 0.500, 0.500)
Se (0.835, 0.835, 0.166)

Values from the calculation:
* space-group type: C2/m, No. 12
* electronic total energy: -5.41 eV/atom
* ΔE_f (raw): -1.391 eV/atom
* total magnetization: 0.000 μB/f.u.

# 8
The following is a GGA-PBE calculation of a relaxed structure of Ac4GeBi2Se, from the Alexandria database.

Cell lengths 8.139, 4.716, 8.208 Å; angles 90.00, 109.34, 90.00 degrees
Sites, in units of the cell vectors:
Ac (0.239, 0.000, 0.232)
Ac (0.247, 0.500, 0.764)
Ac (0.753, 0.500, 0.236)
Ac (0.761, 0.000, 0.768)
Ge (0.000, 0.500, 0.000)
Bi (0.000, 0.000, 0.500)
Bi (0.500, 0.500, 0.500)
Se (0.500, 0.000, 0.000)

Values from the calculation:
* space-group type: P2/m, No. 10
* electronic total energy: -5.20 eV/atom
* ΔE_f (raw): -1.162 eV/atom
* total magnetization: 0.000 μB/f.u.

# 9
The following is a GGA-PBE calculation of a relaxed structure of Ac4GeBiSe2, from the Alexandria database.

Cell lengths 7.920, 4.643, 8.104 Å; angles 90.00, 109.70, 90.00 degrees
Sites, in units of the cell vectors:
Ac (0.245, 0.000, 0.237)
Ac (0.252, 0.500, 0.764)
Ac (0.748, 0.500, 0.236)
Ac (0.755, 0.000, 0.763)
Ge (0.000, 0.500, 0.000)
Bi (0.000, 0.000, 0.500)
Se (0.500, 0.000, 0.000)
Se (0.500, 0.500, 0.500)

Values from the calculation:
* space-group type: P2/m, No. 10
* electronic total energy: -5.39 eV/atom
* ΔE_f (raw): -1.398 eV/atom
* total magnetization: 0.000 μB/f.u.

# 10
The following is a GGA-PBE calculation of a relaxed structure of Ac6Ge3BiSe2, from the Alexandria database.

Cell lengths 10.364, 10.364, 9.324 Å; angles 103.43, 103.43, 25.62 degrees
Sites, in units of the cell vectors:
Ac (0.001, 0.001, 0.236)
Ac (0.327, 0.327, 0.419)
Ac (0.335, 0.335, 0.911)
Ac (0.665, 0.665, 0.089)
Ac (0.673, 0.673, 0.581)
Ac (0.999, 0.999, 0.764)
Ge (0.167, 0.167, 0.331)
Ge (0.500, 0.500, 0.000)
Ge (0.833, 0.833, 0.669)
Bi (0.500, 0.500, 0.500)
Se (0.168, 0.168, 0.836)
Se (0.832, 0.832, 0.164)

Values from the calculation:
* space-group type: C2/m, No. 12
* electronic total energy: -5.26 eV/atom
* ΔE_f (raw): -1.151 eV/atom
* total magnetization: 0.000 μB/f.u.

# 11
The following is a GGA-PBE calculation of a relaxed structure of SrAcGeBi, from the Alexandria database.

Cell lengths 8.090, 8.090, 8.090 Å; angles 90.00, 90.00, 90.00 degrees
Sites, in units of the cell vectors:
Sr (0.000, 0.000, 0.000)
Sr (0.000, 0.500, 0.500)
Sr (0.500, 0.000, 0.500)
Sr (0.500, 0.500, 0.000)
Ac (0.000, 0.000, 0.500)
Ac (0.000, 0.500, 0.000)
Ac (0.500, 0.000, 0.000)
Ac (0.500, 0.500, 0.500)
Ge (0.250, 0.250, 0.750)
Ge (0.250, 0.750, 0.250)
Ge (0.750, 0.250, 0.250)
Ge (0.750, 0.750, 0.750)
Bi (0.250, 0.250, 0.250)
Bi (0.250, 0.750, 0.750)
Bi (0.750, 0.250, 0.750)
Bi (0.750, 0.750, 0.250)

Values from the calculation:
* formation energy: -550 meV per atom
* space-group type: F-43m, No. 216
* electronic total energy: -4.12 eV/atom
* total magnetization: 0.000 μB/f.u.

# 12
The following is a GGA-PBE calculation of a relaxed structure of Ac8GeBi3Te4, from the Alexandria database.

Cell lengths 9.557, 9.557, 9.557 Å; angles 60.28, 60.28, 60.28 degrees
Sites, in units of the cell vectors:
Ac (0.249, 0.249, 0.249)
Ac (0.260, 0.738, 0.738)
Ac (0.262, 0.262, 0.740)
Ac (0.262, 0.740, 0.262)
Ac (0.738, 0.260, 0.738)
Ac (0.738, 0.738, 0.260)
Ac (0.740, 0.262, 0.262)
Ac (0.751, 0.751, 0.751)
Ge (0.500, 0.500, 0.500)
Bi (0.000, 0.000, 0.500)
Bi (0.000, 0.500, 0.000)
Bi (0.500, 0.000, 0.000)
Te (0.000, 0.000, 0.000)
Te (0.000, 0.500, 0.500)
Te (0.500, 0.000, 0.500)
Te (0.500, 0.500, 0.000)

Values from the calculation:
* space-group type: R-3m, No. 166
* electronic total energy: -5.12 eV/atom
* ΔE_f (raw): -1.264 eV/atom
* total magnetization: 0.000 μB/f.u.